(1)
Entry from Alexandria: crystalline Tm2ZrSc4 at its relaxed geometry (PBE).

Symmetry = Cm (8)
Relative energy among the computed polymorphs = 0 meV per atom

Cell: 3.3562 3.3569 18.5923 Å, 95.17 90.00 119.99°
Last column: nearest neighbours and their distance in Å.
Positions (direct):
Tm  0.6180  0.2360  0.0912  6 Sc 3.33-3.34, 6 Tm 3.36
Tm  0.7162  0.4323  0.3844  6 Sc 3.33-3.40, 6 Tm 3.36
Zr  0.8101  0.6203  0.6695  6 Sc 3.15-3.17, 6 Zr 3.36
Sc  0.9020  0.8040  0.9448  9 Sc 3.23-3.36, 3 Tm 3.33
Sc  0.4324  0.8649  0.5352  3 Zr 3.15, 6 Sc 3.36, 3 Tm 3.40
Sc  0.0007  0.0015  0.2379  6 Tm 3.33-3.34, 6 Sc 3.36
Sc  0.5219  0.0438  0.8051  3 Zr 3.17, 9 Sc 3.23-3.36

=====

(2)
Entry from Alexandria: crystalline Tm12ZrSc7 at its relaxed geometry (PBE).

Symmetry = R-3 (148)

Cell: 9.1383 9.1383 9.1383 Å, 110.63 110.63 110.63°
Last column: nearest neighbours and their distance in Å.
Positions (direct):
Tm  0.1193  0.4156  0.9124  4 Sc 3.31-3.45, 8 Tm 3.45-3.67
Tm  0.5844  0.0876  0.8807  4 Sc 3.31-3.45, 8 Tm 3.45-3.67
Tm  0.6563  0.2310  0.5959  4 Sc 3.21-3.46, 7 Tm 3.44-3.53
Tm  0.7690  0.4041  0.3437  4 Sc 3.21-3.46, 7 Tm 3.44-3.53
Tm  0.0876  0.8807  0.5844  4 Sc 3.31-3.45, 8 Tm 3.45-3.67
Tm  0.4041  0.3437  0.7690  4 Sc 3.21-3.46, 7 Tm 3.44-3.53
Tm  0.5959  0.6563  0.2310  4 Sc 3.21-3.46, 7 Tm 3.44-3.53
Tm  0.9124  0.1193  0.4156  4 Sc 3.31-3.45, 8 Tm 3.45-3.67
Tm  0.2310  0.5959  0.6563  4 Sc 3.21-3.46, 7 Tm 3.44-3.53
Tm  0.3437  0.7690  0.4041  4 Sc 3.21-3.46, 7 Tm 3.44-3.53
Tm  0.4156  0.9124  0.1193  4 Sc 3.31-3.45, 8 Tm 3.45-3.67
Tm  0.8807  0.5844  0.0876  4 Sc 3.31-3.45, 8 Tm 3.45-3.67
Zr  0.0000  0.0000  0.0000  6 Sc 2.77
Sc  0.9527  0.6639  0.7850  1 Zr 2.77
Sc  0.3361  0.2150  0.0473  1 Zr 2.77
Sc  0.2150  0.0473  0.3361  1 Zr 2.77
Sc  0.5000  0.5000  0.5000  6 Sc 3.38, 6 Tm 3.46
Sc  0.7850  0.9527  0.6639  1 Zr 2.77
Sc  0.6639  0.7850  0.9527  1 Zr 2.77
Sc  0.0473  0.3361  0.2150  1 Zr 2.77

=====

(3)
Entry from Alexandria: crystalline TmZrSc4 at its relaxed geometry (PBE).

Symmetry = Amm2 (38)
Relative energy among the computed polymorphs = 0 meV per atom

Cell: 3.3247 5.1810 8.8745 Å, 90.01 100.78 90.00°
Last column: nearest neighbours and their distance in Å.
Positions (direct):
Tm  0.6149  0.0026  0.4757  10 Sc 3.27-3.41, 2 Tm 3.32
Zr  0.3932  0.5028  0.0311  10 Sc 3.20-3.28, 2 Zr 3.32
Sc  0.2842  0.0028  0.8146  2 Zr 3.20-3.21, 8 Sc 3.22-3.32, 2 Tm 3.39
Sc  0.9444  0.0027  0.1338  6 Sc 3.20-3.32, 4 Zr 3.21, 2 Tm 3.41
Sc  0.0518  0.5026  0.3495  6 Sc 3.20-3.53, 2 Zr 3.23-3.24, 4 Tm 3.27
Sc  0.7305  0.5028  0.7064  8 Sc 3.22-3.53, 2 Tm 3.28, 2 Zr 3.28

=====

(4)
Entry from Alexandria: crystalline TmZr2Sc4 at its relaxed geometry (PBE).

Symmetry = I4/mmm (139)
Relative energy among the computed polymorphs = 0 meV per atom

Cell: 3.2604 3.2604 17.6339 Å, 73.90 73.90 89.95°
Last column: nearest neighbours and their distance in Å.
Positions (direct):
Tm  0.0000  0.0000  0.0000  4 Tm 3.26, 8 Sc 3.40
Zr  0.4346  0.4346  0.7101  8 Sc 3.16-3.19, 4 Zr 3.26
Zr  0.5654  0.5654  0.2899  8 Sc 3.16-3.19, 4 Zr 3.26
Sc  0.1350  0.1350  0.5765  4 Zr 3.16-3.17, 8 Sc 3.26-3.39
Sc  0.2693  0.2693  0.1538  4 Zr 3.19, 4 Sc 3.26, 4 Tm 3.40
Sc  0.7307  0.7307  0.8462  4 Zr 3.19, 4 Sc 3.26, 4 Tm 3.40
Sc  0.8650  0.8650  0.4235  4 Zr 3.16-3.17, 8 Sc 3.26-3.39

=====

(5)
Entry from Alexandria: crystalline TmZr5Sc6 at its relaxed geometry (PBE).

Symmetry = C2/m (12)

Cell: 10.8032 5.5841 5.5875 Å, 60.02 85.03 80.02°
Last column: nearest neighbours and their distance in Å.
Positions (direct):
Tm  0.0000  0.0000  0.0000  6 Zr 3.22-3.23, 6 Sc 3.31-3.32
Zr  0.5000  0.1685  0.6630  6 Sc 3.18-3.23, 6 Zr 3.21-3.26
Zr  0.0000  0.3333  0.3333  3 Tm 3.22-3.23, 3 Zr 3.22-3.23, 6 Sc 3.27-3.28
Zr  0.5000  0.5000  0.0000  6 Sc 3.18-3.22, 6 Zr 3.21-3.23
Zr  0.0000  0.6667  0.6667  3 Tm 3.22-3.23, 3 Zr 3.22-3.23, 6 Sc 3.27-3.28
Zr  0.5000  0.8315  0.3370  6 Sc 3.18-3.23, 6 Zr 3.21-3.26
Sc  0.7456  0.0838  0.3406  5 Zr 3.18-3.28, 6 Sc 3.19-3.30, 1 Tm 3.31
Sc  0.2544  0.5756  0.3406  5 Zr 3.18-3.28, 6 Sc 3.19-3.30, 1 Tm 3.31
Sc  0.2549  0.2564  0.0000  5 Zr 3.18-3.28, 6 Sc 3.19-3.29, 1 Tm 3.32
Sc  0.7451  0.7436  0.0000  5 Zr 3.18-3.28, 6 Sc 3.19-3.29, 1 Tm 3.32
Sc  0.7456  0.4244  0.6594  5 Zr 3.18-3.28, 6 Sc 3.19-3.30, 1 Tm 3.31
Sc  0.2544  0.9162  0.6594  5 Zr 3.18-3.28, 6 Sc 3.19-3.30, 1 Tm 3.31

=====

(6)
Entry from Alexandria: crystalline Tm14ZrSc at its relaxed geometry (PBE).

Symmetry = P4/mmm (123)

Cell: 6.9073 6.9073 9.7249 Å, 90.00 90.00 89.98°
Last column: nearest neighbours and their distance in Å.
Positions (direct):
Tm  0.3750  0.6250  0.5000  12 Tm 3.45-3.51
Tm  0.8750  0.1250  0.5000  12 Tm 3.45-3.47
Tm  0.8751  0.6250  0.0000  8 Tm 3.40, 2 Zr 3.45, 2 Sc 3.45
Tm  0.8750  0.6250  0.5000  12 Tm 3.45-3.49
Tm  0.3750  0.1249  0.0000  8 Tm 3.40, 2 Zr 3.45, 2 Sc 3.45
Tm  0.3750  0.1250  0.5000  12 Tm 3.45-3.49
Tm  0.6279  0.8779  0.7567  1 Zr 3.38, 10 Tm 3.40-3.51, 1 Sc 3.42
Tm  0.6279  0.8779  0.2433  1 Zr 3.38, 10 Tm 3.40-3.51, 1 Sc 3.42
Tm  0.1221  0.3721  0.7567  1 Zr 3.38, 10 Tm 3.40-3.51, 1 Sc 3.42
Tm  0.1221  0.3721  0.2433  1 Zr 3.38, 10 Tm 3.40-3.51, 1 Sc 3.42
Tm  0.1220  0.8780  0.7566  1 Zr 3.38, 10 Tm 3.40-3.51, 1 Sc 3.42
Tm  0.1220  0.8780  0.2434  1 Zr 3.38, 10 Tm 3.40-3.51, 1 Sc 3.42
Tm  0.6280  0.3720  0.7566  1 Zr 3.38, 10 Tm 3.40-3.51, 1 Sc 3.42
Tm  0.6280  0.3720  0.2434  1 Zr 3.38, 10 Tm 3.40-3.51, 1 Sc 3.42
Zr  0.8750  0.1250  0.0000  12 Tm 3.38-3.45
Sc  0.3751  0.6249  0.0000  12 Tm 3.42-3.45

=====

(7)
Entry from Alexandria: crystalline Tm7Zr2Sc2 at its relaxed geometry (PBE).

Symmetry = C2/m (12)
Relative energy among the computed polymorphs = 0 meV per atom

Cell: 8.1995 6.2403 6.2403 Å, 93.49 80.72 80.72°
Last column: nearest neighbours and their distance in Å.
Positions (direct):
Tm  0.1913  0.1054  0.4731  3 Zr 3.22-3.29, 5 Tm 3.34-3.57, 2 Sc 3.35-3.44
Tm  0.8087  0.5269  0.8946  3 Zr 3.22-3.29, 5 Tm 3.34-3.57, 2 Sc 3.35-3.44
Tm  0.8087  0.8946  0.5269  3 Zr 3.22-3.29, 5 Tm 3.34-3.57, 2 Sc 3.35-3.44
Tm  0.1913  0.4731  0.1054  3 Zr 3.22-3.29, 5 Tm 3.34-3.57, 2 Sc 3.35-3.44
Tm  0.0000  0.0000  0.0000  2 Zr 3.16, 2 Tm 3.39
Tm  0.4193  0.8389  0.8389  1 Zr 3.08, 4 Sc 3.23-3.40, 2 Tm 3.33-3.39
Tm  0.5807  0.1611  0.1611  1 Zr 3.08, 4 Sc 3.23-3.40, 2 Tm 3.33-3.39
Zr  0.8361  0.3736  0.3736  8 Tm 3.08-3.29, 2 Sc 3.14
Zr  0.1639  0.6264  0.6264  8 Tm 3.08-3.29, 2 Sc 3.14
Sc  0.5000  0.3262  0.6738  2 Zr 3.14, 1 Sc 3.16, 8 Tm 3.23-3.44
Sc  0.5000  0.6738  0.3262  2 Zr 3.14, 1 Sc 3.16, 8 Tm 3.23-3.44

=====

(8)
Entry from Alexandria: crystalline Tm2ZrSc5 at its relaxed geometry (PBE).

Symmetry = Fmm2 (42)
Relative energy among the computed polymorphs = 0 meV per atom

Cell: 6.7279 6.7258 6.2087 Å, 105.71 105.73 119.99°
Last column: nearest neighbours and their distance in Å.
Positions (direct):
Tm  0.2325  0.8178  0.4945  1 Zr 3.24, 9 Sc 3.24-3.37, 2 Tm 3.36
Tm  0.7380  0.3233  0.5055  1 Zr 3.24, 9 Sc 3.24-3.37, 2 Tm 3.36
Zr  0.8175  0.7381  0.0000  2 Tm 3.24, 10 Sc 3.25-3.42
Sc  0.2363  0.3198  0.4999  6 Sc 3.23-3.36, 2 Zr 3.25, 4 Tm 3.35-3.37
Sc  0.3223  0.7316  0.0000  6 Sc 3.23-3.43, 4 Tm 3.24-3.30, 2 Zr 3.31-3.42
Sc  0.8236  0.2332  0.0000  6 Sc 3.23-3.43, 4 Tm 3.24-3.29, 2 Zr 3.31-3.42
Sc  0.7363  0.8198  0.5001  6 Sc 3.23-3.36, 2 Zr 3.25, 4 Tm 3.35-3.37
Sc  0.3165  0.2394  0.0000  8 Sc 3.24-3.43, 2 Tm 3.29, 2 Zr 3.36

=====

(9)
Entry from Alexandria: crystalline Tm2Zr2Sc7 at its relaxed geometry (PBE).

Symmetry = C2/m (12)
Relative energy among the computed polymorphs = 77 meV per atom

Cell: 9.0580 8.5764 9.0582 Å, 42.28 139.41 137.72°
Last column: nearest neighbours and their distance in Å.
Positions (direct):
Tm  0.2179  0.9869  0.7821  4 Zr 3.11-3.33, 3 Sc 3.18-3.32, 2 Tm 3.28
Tm  0.7821  0.0131  0.2179  4 Zr 3.11-3.33, 3 Sc 3.18-3.32, 2 Tm 3.28
Zr  0.7277  0.5000  0.7277  1 Zr 2.86, 4 Sc 2.98-3.17, 2 Tm 3.11
Zr  0.2723  0.5000  0.2723  1 Zr 2.86, 4 Sc 2.98-3.17, 2 Tm 3.11
Sc  0.5454  0.4087  0.9639  2 Sc 2.79-3.08, 1 Zr 2.98
Sc  0.9639  0.5913  0.5454  2 Sc 2.79-3.08, 1 Zr 2.98
Sc  0.4546  0.5913  0.0361  2 Sc 2.79-3.08, 1 Zr 2.98
Sc  0.0361  0.4087  0.4546  2 Sc 2.79-3.08, 1 Zr 2.98
Sc  0.4580  0.1084  0.5420  5 Sc 3.11-3.21, 2 Zr 3.17, 1 Tm 3.32
Sc  0.0000  0.0000  0.0000  12 Sc 3.45-3.51, 2 Tm 3.79
Sc  0.5420  0.8916  0.4580  5 Sc 3.11-3.21, 2 Zr 3.17, 1 Tm 3.32

=====

(10)
Entry from Alexandria: crystalline Tm6ZrSc at its relaxed geometry (PBE).

Symmetry = C2/m (12)

Cell: 6.4227 6.3642 6.4491 Å, 89.92 60.14 89.83°
Last column: nearest neighbours and their distance in Å.
Positions (direct):
Tm  0.0037  0.7485  0.5690  1 Zr 3.19, 1 Sc 3.20, 6 Tm 3.29-3.33
Tm  0.5727  0.7485  0.4310  1 Zr 3.19, 1 Sc 3.20, 6 Tm 3.29-3.33
Tm  0.4273  0.2515  0.5690  1 Zr 3.19, 1 Sc 3.20, 6 Tm 3.29-3.33
Tm  0.9963  0.2515  0.4310  1 Zr 3.19, 1 Sc 3.20, 6 Tm 3.29-3.33
Tm  0.4325  0.7484  0.0000  1 Zr 3.20, 1 Sc 3.20, 6 Tm 3.28-3.32
Tm  0.5675  0.2516  0.0000  1 Zr 3.20, 1 Sc 3.20, 6 Tm 3.28-3.32
Zr  0.0000  0.5000  0.0000  2 Sc 3.18, 6 Tm 3.19-3.20
Sc  0.0000  0.0000  0.0000  2 Zr 3.18, 6 Tm 3.20

=====

(11)
Entry from Alexandria: crystalline TmZr6Sc12 at its relaxed geometry (PBE).

Symmetry = R-3m (166)
Relative energy among the computed polymorphs = 423 meV per atom

Cell: 8.0329 8.0329 8.0329 Å, 98.67 98.67 98.67°
Last column: nearest neighbours and their distance in Å.
Positions (direct):
Tm  0.0000  0.0000  0.0000  6 Zr 3.21
Zr  0.7479  0.1977  0.1977  4 Sc 2.69-2.92
Zr  0.1977  0.1977  0.7479  4 Sc 2.69-2.92
Zr  0.1977  0.7479  0.1977  4 Sc 2.69-2.92
Zr  0.8023  0.8023  0.2521  4 Sc 2.69-2.92
Zr  0.2521  0.8023  0.8023  4 Sc 2.69-2.92
Zr  0.8023  0.2521  0.8023  4 Sc 2.69-2.92
Sc  0.8785  0.1215  0.5000  4 Zr 2.69-2.92, 1 Sc 2.96
Sc  0.8094  0.5267  0.5267  9 Sc 3.24-3.54, 3 Zr 3.35-3.37
Sc  0.5267  0.5267  0.8094  9 Sc 3.24-3.54, 3 Zr 3.35-3.37
Sc  0.4733  0.1906  0.4733  9 Sc 3.24-3.54, 3 Zr 3.35-3.37
Sc  0.4733  0.4733  0.1906  9 Sc 3.24-3.54, 3 Zr 3.35-3.37
Sc  0.1906  0.4733  0.4733  9 Sc 3.24-3.54, 3 Zr 3.35-3.37
Sc  0.1215  0.5000  0.8785  4 Zr 2.69-2.92, 1 Sc 2.96
Sc  0.5000  0.8785  0.1215  4 Zr 2.69-2.92, 1 Sc 2.96
Sc  0.1215  0.8785  0.5000  4 Zr 2.69-2.92, 1 Sc 2.96
Sc  0.8785  0.5000  0.1215  4 Zr 2.69-2.92, 1 Sc 2.96
Sc  0.5000  0.1215  0.8785  4 Zr 2.69-2.92, 1 Sc 2.96
Sc  0.5267  0.8094  0.5267  9 Sc 3.24-3.54, 3 Zr 3.35-3.37

=====

(12)
Entry from Alexandria: crystalline Tm5ZrSc3 at its relaxed geometry (PBE).

Symmetry = C2/m (12)

Cell: 7.4887 7.4887 10.7973 Å, 73.52 73.52 89.88°
Last column: nearest neighbours and their distance in Å.
Positions (direct):
Tm  0.9266  0.4156  0.3433  3 Sc 3.22-3.56, 1 Zr 3.27, 2 Tm 3.57-3.58
Tm  0.2531  0.7469  0.0000  1 Sc 2.68
Tm  0.6808  0.6808  0.1218  3 Sc 2.94-3.26, 1 Zr 3.01
Tm  0.3939  0.3939  0.4235  2 Sc 2.96-3.07, 1 Tm 3.28
Tm  0.6061  0.6061  0.5765  2 Sc 2.96-3.07, 1 Tm 3.28
Tm  0.3192  0.3192  0.8782  3 Sc 2.94-3.26, 1 Zr 3.01
Tm  0.4156  0.9266  0.3433  3 Sc 3.22-3.56, 1 Zr 3.27, 2 Tm 3.57-3.58
Tm  0.7469  0.2531  0.0000  1 Sc 2.68
Tm  0.0734  0.5844  0.6567  3 Sc 3.22-3.56, 1 Zr 3.27, 2 Tm 3.57-3.58
Tm  0.5844  0.0734  0.6567  3 Sc 3.22-3.56, 1 Zr 3.27, 2 Tm 3.57-3.58
Zr  0.8647  0.8647  0.8254  3 Sc 2.64-2.79
Zr  0.1353  0.1353  0.1746  3 Sc 2.64-2.79
Sc  0.6068  0.6068  0.8501  1 Zr 2.64, 1 Tm 2.94
Sc  0.8593  0.8593  0.3072  1 Zr 2.69, 1 Sc 3.01
Sc  0.0000  0.0000  0.0000  2 Tm 2.68, 2 Zr 2.79
Sc  0.0000  0.0000  0.5000  2 Sc 3.01, 2 Zr 3.22, 4 Tm 3.22
Sc  0.3932  0.3932  0.1499  1 Zr 2.64, 1 Tm 2.94
Sc  0.1407  0.1407  0.6928  1 Zr 2.69, 1 Sc 3.01

=====

Number 1: magnetization 0.60 Bohr magnetons per cell, E_tot -42.65 eV per formula unit, energy relative to the elements 0.2 eV/f.u.. Number 2: magnetization 1.91 Bohr magnetons per cell, E_tot -103.64 eV per formula unit, energy relative to the elements 2.9 eV/f.u.. Number 3: magnetization 0.00 Bohr magnetons per cell, E_tot -38.42 eV per formula unit, energy relative to the elements -0.1 eV/f.u.. Number 4: magnetization 0.00 Bohr magnetons per cell, E_tot -46.72 eV per formula unit, energy relative to the elements 0.2 eV/f.u.. Number 5: magnetization 0.00 Bohr magnetons per cell, E_tot -84.69 eV per formula unit, energy relative to the elements 0.5 eV/f.u.. Number 6: magnetization 0.00 Bohr magnetons per cell, E_tot -76.83 eV per formula unit, energy relative to the elements 0.6 eV/f.u.. Number 7: magnetization 0.00 Bohr magnetons per cell, E_tot -60.08 eV per formula unit, energy relative to the elements 1.0 eV/f.u.. Number 8: magnetization 0.01 Bohr magnetons per cell, E_tot -49.02 eV per formula unit, energy relative to the elements 0.1 eV/f.u.. Number 9: magnetization 0.00 Bohr magnetons per cell, E_tot -68.05 eV per formula unit, energy relative to the elements 2.3 eV/f.u.. Number 10: magnetization 1.81 Bohr magnetons per cell, E_tot -39.88 eV per formula unit, energy relative to the elements 1.8 eV/f.u.. Number 11: magnetization 0.00 Bohr magnetons per cell, E_tot -122.82 eV per formula unit, energy relative to the elements 8.9 eV/f.u.. Number 12: magnetization 0.00 Bohr magnetons per cell, E_tot -44.81 eV per formula unit, energy relative to the elements 5.1 eV/f.u..